No. 1
DFT (PBE) results for an optimized crystal structure of CsTa3Se5.

Cell and atoms, written as extended XYZ:
```
9
Lattice="5.859 0.000 0.000 -2.929 5.074 0.000 0.000 0.000 7.971" Properties=species:S:1:pos:R:3 pbc="T T T"
Cs 0.000 0.000 0.000
Ta -1.465 2.537 3.986
Ta 2.929 0.000 3.986
Ta 1.465 2.537 3.986
Se 0.000 0.000 3.986
Se 0.000 3.383 1.958
Se 0.000 3.383 6.013
Se 2.929 1.691 1.958
Se 2.929 1.691 6.013
```

Computed properties:
Space-group type: P6/mmm (191)

No. 2
DFT (PBE) results for an optimized crystal structure of Hg2Pd9.

Cell and atoms, written as extended XYZ:
```
11
Lattice="2.832 0.000 0.000 -1.416 2.452 0.000 0.000 0.000 34.663" Properties=species:S:1:pos:R:3 pbc="T T T"
Hg 0.000 1.635 11.428
Hg 1.416 0.817 23.235
Pd 0.000 0.000 0.000
Pd 0.000 0.000 6.683
Pd 0.000 0.000 27.980
Pd 0.000 1.635 4.453
Pd 0.000 1.635 25.720
Pd 0.000 1.635 32.439
Pd 1.416 0.817 2.224
Pd 1.416 0.817 8.942
Pd 1.416 0.817 30.210
```

Computed properties:
Space-group type: P-3m1 (164)
ΔE_f, meV per atom: 64

No. 3
DFT (PBE) results for an optimized crystal structure of FeSiW.

Cell and atoms, written as extended XYZ:
```
12
Lattice="6.064 0.000 0.000 0.000 3.641 0.000 0.000 0.000 6.868" Properties=species:S:1:pos:R:3 pbc="T T T"
Fe 0.876 0.910 0.431
Fe 2.156 2.731 3.866
Fe 3.907 0.910 3.003
Fe 5.188 2.731 6.437
Si 1.369 2.731 6.047
Si 1.663 0.910 2.613
Si 4.401 2.731 4.255
Si 4.694 0.910 0.821
W 0.125 0.910 4.670
W 2.907 2.731 1.236
W 3.157 0.910 5.632
W 5.938 2.731 2.198
```

Computed properties:
Space-group type: Pnma (62)
Energy above the lowest structure with this stoichiometry, meV per atom: 0

No. 4
DFT (PBE) results for an optimized crystal structure of YHoNi2Sn.

Cell and atoms, written as extended XYZ:
```
10
Lattice="3.616 0.000 0.000 0.000 3.994 0.000 0.000 0.000 13.849" Properties=species:S:1:pos:R:3 pbc="T T T"
Y 0.000 0.000 0.000
Y 0.000 1.997 6.925
Ho 0.000 0.000 10.055
Ho 0.000 1.997 3.130
Ni 1.808 0.000 2.286
Ni 1.808 0.000 7.772
Ni 1.808 1.997 0.847
Ni 1.808 1.997 9.211
Sn 1.808 0.000 5.028
Sn 1.808 1.997 11.953
```

Computed properties:
Space-group type: Amm2 (38)

No. 5
DFT (PBE) results for an optimized crystal structure of NaMgU.

Cell and atoms, written as extended XYZ:
```
12
Lattice="7.537 0.000 0.000 0.000 7.537 0.000 0.000 0.000 7.537" Properties=species:S:1:pos:R:3 pbc="T T T"
Na 0.000 0.000 0.000
Na 0.000 3.769 3.769
Na 3.769 0.000 3.769
Na 3.769 3.769 0.000
Mg 0.000 0.000 3.769
Mg 0.000 3.769 0.000
Mg 3.769 0.000 0.000
Mg 3.769 3.769 3.769
U 1.884 1.884 1.884
U 1.884 5.653 5.653
U 5.653 1.884 5.653
U 5.653 5.653 1.884
```

Computed properties:
Space-group type: F-43m (216)
Energy above the lowest structure with this stoichiometry, meV per atom: 246

No. 6
DFT (PBE) results for an optimized crystal structure of AgPbO3.

Cell and atoms, written as extended XYZ:
```
10
Lattice="2.920 1.686 4.487 -2.920 1.686 4.487 0.000 -3.372 4.487" Properties=species:S:1:pos:R:3 pbc="T T T"
Ag 0.000 0.000 0.000
Ag 0.000 0.000 6.731
Pb 0.000 0.000 3.366
Pb 0.000 0.000 10.097
O -1.841 0.184 5.609
O -1.080 -1.502 7.853
O 0.761 -1.686 5.609
O -0.761 1.686 7.853
O 1.080 1.502 5.609
O 1.841 -0.184 7.853
```

Computed properties:
Space-group type: R-3c (167)

No. 7
DFT (PBE) results for an optimized crystal structure of PrInPt4.

Cell and atoms, written as extended XYZ:
```
6
Lattice="0.000 3.852 3.852 3.852 0.000 3.852 3.852 3.852 0.000" Properties=species:S:1:pos:R:3 pbc="T T T"
Pr 0.000 0.000 0.000
In 5.778 5.778 5.778
Pt 2.893 2.893 2.893
Pt 4.811 4.811 2.893
Pt 4.811 2.893 4.811
Pt 2.893 4.811 4.811
```

Computed properties:
Space-group type: F-43m (216)

No. 8
DFT (PBE) results for an optimized crystal structure of HoAlSi.

Cell and atoms, written as extended XYZ:
```
12
Lattice="6.358 0.000 0.000 0.000 6.358 0.000 0.000 0.000 6.358" Properties=species:S:1:pos:R:3 pbc="T T T"
Ho 0.000 0.000 0.000
Ho 0.000 3.179 3.179
Ho 3.179 0.000 3.179
Ho 3.179 3.179 0.000
Al 0.000 0.000 3.179
Al 0.000 3.179 0.000
Al 3.179 0.000 0.000
Al 3.179 3.179 3.179
Si 1.590 1.590 4.769
Si 1.590 4.769 1.590
Si 4.769 1.590 1.590
Si 4.769 4.769 4.769
```

Computed properties:
Space-group type: F-43m (216)

Sequential E output: -6.691 -4.225 -9.231 -5.851 -3.158 -4.631 -6.080 -4.771 eV per atom